1.
The following is a DFT calculation (PBE-GGA) of crystalline CePH2Rh2 at its relaxed geometry.

Uncorrected energy (eV/atom): -6.078
Crystal system: monoclinic

abc: 5.1149 5.5299 5.6954
angles: 90.00 95.12 90.00
Closest atoms and distances in Å follow each position.
Fractional coordinates of all 12 atoms:
Ce 0.2260 0.2500 0.1417  3 H 2.51-2.60
Ce 0.7740 0.7500 0.8583  3 H 2.51-2.60
P 0.0984 0.7500 0.3094  4 Rh 2.37-2.38, 1 H 2.40
P 0.9016 0.2500 0.6906  4 Rh 2.37-2.38, 1 H 2.40
H 0.2792 0.7500 0.8282  2 Rh 1.82
H 0.4473 0.2500 0.7652  2 Rh 1.79
H 0.5527 0.7500 0.2348  2 Rh 1.79
H 0.7208 0.2500 0.1718  2 Rh 1.82
Rh 0.2676 0.0042 0.6238  2 H 1.79-1.82
Rh 0.2676 0.4958 0.6238  2 H 1.79-1.82
Rh 0.7324 0.5042 0.3762  2 H 1.79-1.82
Rh 0.7324 0.9958 0.3762  2 H 1.79-1.82

---

2.
The following is a DFT calculation (PBE-GGA) of crystalline CePH2Ru2 at its relaxed geometry.

Uncorrected energy (eV/atom): -6.526
Crystal system: monoclinic

abc: 5.2433 5.6889 5.4297
angles: 90.00 90.26 90.00
Closest atoms and distances in Å follow each position.
Fractional coordinates of all 12 atoms:
Ce 0.2383 0.2500 0.1327  2 H 2.45-2.51
Ce 0.7617 0.7500 0.8673  2 H 2.45-2.51
P 0.0735 0.7500 0.3165  4 Ru 2.31-2.36, 1 H 2.53
P 0.9265 0.2500 0.6835  4 Ru 2.31-2.36, 1 H 2.53
H 0.2962 0.7500 0.8246  2 Ru 1.81
H 0.4458 0.2500 0.7176  2 Ru 1.82
H 0.5542 0.7500 0.2824  2 Ru 1.82
H 0.7038 0.2500 0.1754  2 Ru 1.81
Ru 0.2635 0.5036 0.6160  2 H 1.81-1.82
Ru 0.2635 0.9964 0.6160  2 H 1.81-1.82
Ru 0.7365 0.0036 0.3840  2 H 1.81-1.82
Ru 0.7365 0.4964 0.3840  2 H 1.81-1.82

---

3.
The following is a DFT calculation (PBE-GGA) of crystalline CePH2Ru at its relaxed geometry.

Uncorrected energy (eV/atom): -6.127
Crystal system: orthorhombic

abc: 5.5655 5.5655 5.8655
angles: 90.00 90.00 138.87
Closest atoms and distances in Å follow each position.
Fractional coordinates of all 10 atoms:
Ce 0.2114 0.7886 0.7500  6 H 2.28-2.29
Ce 0.7886 0.2114 0.2500  6 H 2.28-2.29
P 0.0718 0.9282 0.2500  4 Ru 2.56, 4 H 2.85
P 0.9282 0.0718 0.7500  4 Ru 2.56, 4 H 2.85
H 0.3382 0.6618 0.0662  1 Ru 1.73
H 0.3382 0.6618 0.4338  1 Ru 1.73
H 0.6618 0.3382 0.5662  1 Ru 1.73
H 0.6618 0.3382 0.9338  1 Ru 1.73
Ru 0.5000 0.5000 0.0000  2 H 1.73
Ru 0.5000 0.5000 0.5000  2 H 1.73

---

4.
The following is a DFT calculation (PBE-GGA) of crystalline CeTcPH2 at its relaxed geometry.

Uncorrected energy (eV/atom): -6.355
Crystal system: orthorhombic

abc: 5.5373 5.5373 5.9398
angles: 90.00 90.00 138.68
Closest atoms and distances in Å follow each position.
Fractional coordinates of all 10 atoms:
Ce 0.2042 0.7958 0.7500  6 H 2.28-2.30
Ce 0.7958 0.2042 0.2500  6 H 2.28-2.30
Tc 0.5000 0.5000 0.0000  2 H 1.76
Tc 0.5000 0.5000 0.5000  2 H 1.76
P 0.0775 0.9225 0.2500  4 Tc 2.58, 6 H 2.86-2.88
P 0.9225 0.0775 0.7500  4 Tc 2.58, 6 H 2.86-2.88
H 0.3339 0.6661 0.0646  1 Tc 1.76
H 0.3339 0.6661 0.4354  1 Tc 1.76
H 0.6661 0.3339 0.5646  1 Tc 1.76
H 0.6661 0.3339 0.9354  1 Tc 1.76

---

Ordered total moment results: 0.5 0.5 1.4 0.7; unit μB/cell.